! V3P4PbO17, optimized geometry, DFT PBE+U; values from VASP
! - V (Å³ per cell) = 1300
! - energy (eV per atom) = -7.360
&SYSTEM
  ibrav = 0, nat = 100, ntyp = 4
/
ATOMIC_SPECIES
V 50.94 V.upf
P 30.97 P.upf
Pb 207.20 Pb.upf
O 16.00 O.upf
CELL_PARAMETERS angstrom
7.538 0.000 0.000
0.000 10.288 0.000
0.000 0.000 16.762
ATOMIC_POSITIONS angstrom
V 1.650 2.558 8.345
V 1.673 1.815 14.232
V 1.689 3.315 2.493
V 2.079 6.974 10.874
V 2.096 8.474 5.851
V 2.118 7.730 16.726
V 5.419 2.586 8.417
V 5.442 3.330 2.530
V 5.458 1.829 14.268
V 5.848 8.459 5.888
V 5.865 6.959 10.910
V 5.887 7.703 0.036
P 1.498 8.882 13.601
P 1.505 3.751 11.561
P 1.562 9.664 9.001
P 1.576 4.505 16.146
P 2.193 5.783 7.765
P 2.206 0.625 0.620
P 2.264 6.538 3.180
P 2.271 1.406 5.220
P 5.266 6.551 3.160
P 5.274 1.394 5.200
P 5.331 5.769 7.760
P 5.345 0.639 0.615
P 5.961 9.649 8.996
P 5.975 4.519 16.141
P 6.032 8.895 13.581
P 6.040 3.738 11.541
Pb 0.046 9.591 3.024
Pb 3.723 0.698 11.405
Pb 3.815 5.842 13.738
Pb 7.492 4.447 5.357
O 0.001 1.752 13.993
O 7.536 3.836 12.101
O 7.537 6.896 11.149
O 0.001 8.981 13.041
O 0.005 2.359 8.059
O 0.008 3.395 2.385
O 0.005 4.486 16.356
O 1.447 8.591 15.075
O 1.520 3.484 10.083
O 1.581 2.527 4.420
O 1.606 1.154 16.102
O 1.609 6.299 9.067
O 1.615 7.689 3.988
O 1.648 5.168 3.523
O 1.659 0.018 4.917
O 1.764 4.351 7.402
O 1.803 9.464 0.964
O 1.849 6.617 6.523
O 1.854 1.425 1.884
O 1.915 8.863 10.265
O 1.920 3.671 14.904
O 1.966 0.824 9.345
O 2.005 5.937 15.782
O 2.110 10.271 13.298
O 2.121 5.121 11.904
O 2.154 2.599 12.369
O 2.159 3.989 0.686
O 2.163 9.135 7.721
O 2.188 7.761 12.800
O 2.249 6.804 1.702
O 2.321 1.698 6.694
O 3.763 5.802 7.975
O 3.761 6.893 10.766
O 3.763 7.930 16.440
O 3.767 1.308 4.660
O 3.769 3.393 2.768
O 3.770 6.452 3.720
O 3.768 8.537 5.612
O 3.774 0.658 0.406
O 3.777 1.749 14.376
O 3.774 2.785 8.703
O 5.216 6.842 1.686
O 5.289 1.660 6.678
O 5.350 2.617 12.342
O 5.375 3.991 0.660
O 5.384 7.743 12.774
O 5.378 9.133 7.695
O 5.417 10.265 13.239
O 5.428 5.127 11.844
O 5.532 0.793 9.360
O 5.572 5.969 15.798
O 5.618 8.815 10.239
O 5.623 3.719 14.877
O 5.684 6.569 6.497
O 5.689 1.473 1.858
O 5.734 4.320 7.417
O 5.774 9.495 0.979
O 5.878 5.162 3.464
O 5.890 0.023 4.858
O 5.928 1.155 16.075
O 5.923 2.545 4.393
O 5.932 6.298 9.040
O 5.957 7.671 3.961
O 6.017 8.628 15.059
O 6.090 3.447 10.067
O 7.532 7.503 0.322
O 7.530 8.539 5.995
O 7.532 9.631 8.786